KSbW2 | GGA-PBE | relaxed

Computed properties:
- density (Mg/m³) = 8.621
- formation energy (no corrections) (eV/atom) = 1.19
- total moment (μB/atom) = 0.000

Cell lengths 3.2054, 4.1986, 7.5645 Å; angles 90.00, 90.00, 90.00 degrees
Fractional coordinates of all 4 atoms:
K (0.0000, 0.0000, 0.0000)
Sb (0.0000, 0.0000, 0.5000)
W (0.5000, 0.5000, 0.3471)
W (0.5000, 0.5000, 0.6529)

***

NbPIrBr2 | GGA-PBE | relaxed

Computed properties:
- density (Mg/m³) = 6.227
- formation energy (no corrections) (eV/atom) = 0.98
- total moment (μB/atom) = 0.322

Cell lengths 5.0030, 5.0030, 5.0707 Å; angles 90.00, 90.00, 90.00 degrees
Fractional coordinates of all 5 atoms:
Nb (0.0000, 0.0000, 0.0000)
P (0.5000, 0.5000, 0.5000)
Ir (0.0000, 0.0000, 0.5000)
Br (0.0000, 0.5000, 0.0000)
Br (0.5000, 0.0000, 0.0000)

***

TaIn2Tc | GGA-PBE | relaxed

Computed properties:
- density (Mg/m³) = 11.394
- total moment (μB/atom) = 0.000
- excess energy over the best structure of this formula in the dataset (meV/atom) = 213

Cell lengths 5.0371, 5.0371, 5.0371 Å; angles 129.54, 129.54, 74.15 degrees
Fractional coordinates of all 4 atoms:
Ta (0.0000, 0.0000, 0.0000)
In (0.5000, 0.5000, 0.0000)
In (0.7500, 0.2500, 0.5000)
Tc (0.2500, 0.7500, 0.5000)

***

SrTaSe2N | GGA-PBE | relaxed

Computed properties:
- density (Mg/m³) = 5.847
- formation energy (no corrections) (eV/atom) = 1.51
- total moment (μB/atom) = 0.002
- excess energy over the best structure of this formula in the dataset (meV/atom) = 2491

Cell lengths 5.4844, 5.4844, 4.1589 Å; angles 90.00, 90.00, 90.00 degrees
Fractional coordinates of all 5 atoms:
Sr (0.0000, 0.0000, 0.0000)
Ta (0.5000, 0.5000, 0.5000)
Se (0.0000, 0.5000, 0.0000)
Se (0.5000, 0.0000, 0.0000)
N (0.0000, 0.0000, 0.5000)

***

In2ReAs | GGA-PBE | relaxed

Computed properties:
- density (Mg/m³) = 6.677
- total energy (eV/atom) = -4.4654
- total moment (μB/atom) = 0.500

Cell lengths 7.6343, 7.6343, 7.6343 Å; angles 131.54, 131.54, 70.96 degrees
Fractional coordinates of all 8 atoms:
In (0.1220, 0.6250, 0.9970)
In (0.3750, 0.3720, 0.4970)
In (0.6280, 0.1250, 0.0030)
In (0.8750, 0.8780, 0.5030)
Re (0.2500, 0.7500, 0.5000)
Re (0.5000, 0.5000, 0.0000)
As (0.0000, 0.0000, 0.0000)
As (0.7500, 0.2500, 0.5000)

***

Ba3SbW | GGA-PBE | relaxed

Computed properties:
- density (Mg/m³) = 5.938
- formation energy (no corrections) (eV/atom) = 0.58
- total moment (μB/atom) = 0.000
- excess energy over the best structure of this formula in the dataset (meV/atom) = 0

Cell lengths 5.8545, 5.8545, 5.8545 Å; angles 90.00, 90.00, 90.00 degrees
Fractional coordinates of all 5 atoms:
Ba (0.0000, 0.0000, 0.5000)
Ba (0.0000, 0.5000, 0.0000)
Ba (0.5000, 0.0000, 0.0000)
Sb (0.5000, 0.5000, 0.5000)
W (0.0000, 0.0000, 0.0000)